(1)
# K3LaSb2Se6 (PBE, relaxed)
# DOS at the Fermi energy (states/eV per cell): 0.0
# Raw formation energy (eV per atom): -1.073
# Density (g cm⁻³): 4.34
data_K3LaSb2Se6
_chemical_formula_sum 'K6 La2 Sb4 Se12'
_symmetry_space_group_name_H-M 'C 1 2/m 1'
_symmetry_Int_Tables_number 12
_symmetry_space_group_name_Hall '-C 2y'
_cell_length_a 7.474
_cell_length_b 12.947
_cell_length_c 8.095
_cell_angle_alpha 90.00
_cell_angle_beta 107.94
_cell_angle_gamma 90.00
loop_
_atom_site_label
_atom_site_type_symbol
_atom_site_fract_x
_atom_site_fract_y
_atom_site_fract_z
K1 K 0.000 0.000 0.000
K2 K 0.000 0.333 0.000
La1 La 0.000 0.500 0.500
Sb1 Sb 0.000 0.167 0.500
Se1 Se 0.226 0.000 0.708
Se2 Se 0.241 0.328 0.708

***

(2)
# K2LaSbSe4 (PBE, relaxed)
# Raw formation energy (eV per atom): -1.244
# Density (g cm⁻³): 4.36
data_K2LaSbSe4
_chemical_formula_sum 'K8 La4 Sb4 Se16'
_symmetry_space_group_name_H-M 'I m m a'
_symmetry_Int_Tables_number 74
_symmetry_space_group_name_Hall '-I 2b 2'
_cell_length_a 8.793
_cell_length_b 9.007
_cell_length_c 12.582
_cell_angle_alpha 90.00
_cell_angle_beta 90.00
_cell_angle_gamma 90.00
loop_
_atom_site_label
_atom_site_type_symbol
_atom_site_fract_x
_atom_site_fract_y
_atom_site_fract_z
K1 K 0.000 0.000 0.000
K2 K 0.250 0.250 0.250
La1 La 0.000 0.000 0.500
Sb1 Sb 0.250 0.250 0.750
Se1 Se 0.000 0.030 0.740
Se2 Se 0.229 0.250 0.516

***

(3)
# K3La3SbSe8 (PBE, relaxed)
# DOS at the Fermi energy (states/eV per cell): 7.7
# Raw formation energy (eV per atom): -1.472
# Density (g cm⁻³): 4.16
data_K3La3SbSe8
_chemical_formula_sum 'K9 La9 Sb3 Se24'
_symmetry_space_group_name_H-M 'R -3 m'
_symmetry_Int_Tables_number 166
_symmetry_space_group_name_Hall '-R 3 2"'
_cell_length_a 8.7236
_cell_length_b 8.7236
_cell_length_c 23.4147
_cell_angle_alpha 90.00
_cell_angle_beta 90.00
_cell_angle_gamma 120.00
loop_
_atom_site_label
_atom_site_type_symbol
_atom_site_fract_x
_atom_site_fract_y
_atom_site_fract_z
K1 K 0.0000 0.5000 0.0000
La1 La 0.0000 0.5000 0.5000
Sb1 Sb 0.0000 0.0000 0.5000
Se1 Se 0.0000 0.0000 0.2370
Se2 Se 0.0213 0.5107 0.2337

***

(4)
# KLaSb2Te (PBE, relaxed)
# Energy relative to the lowest polymorph listed for this composition (kJ per mole of atoms): 0.0
# DOS at the Fermi energy (states/eV per cell): 6.8
# Raw formation energy (eV per atom): -0.251
# Density (g cm⁻³): 3.91
data_KLaSb2Te
_chemical_formula_sum 'K1 La1 Sb2 Te1'
_symmetry_space_group_name_H-M 'P 4/m m m'
_symmetry_Int_Tables_number 123
_symmetry_space_group_name_Hall '-P 4 2'
_cell_length_a 6.132
_cell_length_b 6.132
_cell_length_c 6.207
_cell_angle_alpha 90.00
_cell_angle_beta 90.00
_cell_angle_gamma 90.00
loop_
_atom_site_label
_atom_site_type_symbol
_atom_site_fract_x
_atom_site_fract_y
_atom_site_fract_z
K1 K 0.000 0.000 0.000
La1 La 0.500 0.500 0.500
Sb1 Sb 0.000 0.500 0.500
Te1 Te 0.500 0.500 0.000

***

(5)
# KLaSbTe2 (PBE, relaxed)
# DOS at the Fermi energy (states/eV per cell): 5.1
# Raw formation energy (eV per atom): -0.517
# Density (g cm⁻³): 3.85
data_KLaSbTe2
_chemical_formula_sum 'K1 La1 Sb1 Te2'
_symmetry_space_group_name_H-M 'P 4/m m m'
_symmetry_Int_Tables_number 123
_symmetry_space_group_name_Hall '-P 4 2'
_cell_length_a 6.214
_cell_length_b 6.214
_cell_length_c 6.195
_cell_angle_alpha 90.00
_cell_angle_beta 90.00
_cell_angle_gamma 90.00
loop_
_atom_site_label
_atom_site_type_symbol
_atom_site_fract_x
_atom_site_fract_y
_atom_site_fract_z
K1 K 0.000 0.000 0.000
La1 La 0.500 0.500 0.500
Sb1 Sb 0.500 0.500 0.000
Te1 Te 0.000 0.500 0.500

***

(6)
# KLaSb2Te (PBE, relaxed)
# Energy relative to the lowest polymorph listed for this composition (kJ per mole of atoms): 60.5
# DOS at the Fermi energy (states/eV per cell): 5.0
# Raw formation energy (eV per atom): 0.376
# Density (g cm⁻³): 4.92
data_KLaSb2Te
_chemical_formula_sum 'K1 La1 Sb2 Te1'
_symmetry_space_group_name_H-M 'P 4/m m m'
_symmetry_Int_Tables_number 123
_symmetry_space_group_name_Hall '-P 4 2'
_cell_length_a 5.650
_cell_length_b 5.650
_cell_length_c 5.802
_cell_angle_alpha 90.00
_cell_angle_beta 90.00
_cell_angle_gamma 90.00
loop_
_atom_site_label
_atom_site_type_symbol
_atom_site_fract_x
_atom_site_fract_y
_atom_site_fract_z
K1 K 0.000 0.000 0.000
La1 La 0.500 0.500 0.500
Sb1 Sb 0.000 0.500 0.000
Te1 Te 0.000 0.000 0.500

***

(7)
# KLaTi2Sb (PBE, relaxed)
# DOS at the Fermi energy (states/eV per cell): 6.4
# Raw formation energy (eV per atom): 1.002
# Density (g cm⁻³): 4.05
data_KLaTi2Sb
_chemical_formula_sum 'K1 La1 Ti2 Sb1'
_symmetry_space_group_name_H-M 'P 4/m m m'
_symmetry_Int_Tables_number 123
_symmetry_space_group_name_Hall '-P 4 2'
_cell_length_a 5.124
_cell_length_b 5.124
_cell_length_c 6.172
_cell_angle_alpha 90.00
_cell_angle_beta 90.00
_cell_angle_gamma 90.00
loop_
_atom_site_label
_atom_site_type_symbol
_atom_site_fract_x
_atom_site_fract_y
_atom_site_fract_z
K1 K 0.000 0.000 0.000
La1 La 0.500 0.500 0.500
Ti1 Ti 0.000 0.500 0.500
Sb1 Sb 0.500 0.500 0.000

***

(8)
# KLaSc2 (PBE, relaxed)
# Energy relative to the lowest polymorph listed for this composition (kJ per mole of atoms): 31.3
# DOS at the Fermi energy (states/eV per cell): 32.0
# Density (g cm⁻³): 3.37
data_KLaSc2
_chemical_formula_sum 'K4 La4 Sc8'
_symmetry_space_group_name_H-M 'F -4 3 m'
_symmetry_Int_Tables_number 216
_symmetry_space_group_name_Hall 'F -4 2 3'
_cell_length_a 8.081
_cell_length_b 8.081
_cell_length_c 8.081
_cell_angle_alpha 90.00
_cell_angle_beta 90.00
_cell_angle_gamma 90.00
loop_
_atom_site_label
_atom_site_type_symbol
_atom_site_fract_x
_atom_site_fract_y
_atom_site_fract_z
K1 K 0.000 0.000 0.000
La1 La 0.250 0.250 0.750
Sc1 Sc 0.000 0.000 0.500
Sc2 Sc 0.250 0.250 0.250

***

(9)
# KLaSc (PBE, relaxed)
# Energy relative to the lowest polymorph listed for this composition (kJ per mole of atoms): 0.0
# DOS at the Fermi energy (states/eV per cell): 4.5
# Density (g cm⁻³): 3.28
data_KLaSc
_chemical_formula_sum 'K1 La1 Sc1'
_symmetry_space_group_name_H-M 'P 3 m 1'
_symmetry_Int_Tables_number 156
_symmetry_space_group_name_Hall 'P 3 -2"'
_cell_length_a 3.6348
_cell_length_b 3.6348
_cell_length_c 9.8797
_cell_angle_alpha 90.00
_cell_angle_beta 90.00
_cell_angle_gamma 120.00
loop_
_atom_site_label
_atom_site_type_symbol
_atom_site_fract_x
_atom_site_fract_y
_atom_site_fract_z
K1 K 0.0000 0.0000 0.0000
La1 La 0.6667 0.3333 0.3845
Sc1 Sc 0.3333 0.6667 0.6481

***

(10)
# KLaSc2 (PBE, relaxed)
# Energy relative to the lowest polymorph listed for this composition (kJ per mole of atoms): 28.3
# DOS at the Fermi energy (states/eV per cell): 7.5
# Density (g cm⁻³): 3.35
data_KLaSc2
_chemical_formula_sum 'K1 La1 Sc2'
_symmetry_space_group_name_H-M 'P 4/m m m'
_symmetry_Int_Tables_number 123
_symmetry_space_group_name_Hall '-P 4 2'
_cell_length_a 5.978
_cell_length_b 5.978
_cell_length_c 3.721
_cell_angle_alpha 90.00
_cell_angle_beta 90.00
_cell_angle_gamma 90.00
loop_
_atom_site_label
_atom_site_type_symbol
_atom_site_fract_x
_atom_site_fract_y
_atom_site_fract_z
K1 K 0.000 0.000 0.000
La1 La 0.500 0.500 0.000
Sc1 Sc 0.000 0.500 0.500

***

(11)
# KLaSc (PBE, relaxed)
# Energy relative to the lowest polymorph listed for this composition (kJ per mole of atoms): 73.6
# DOS at the Fermi energy (states/eV per cell): 30.7
# Density (g cm⁻³): 2.66
data_KLaSc
_chemical_formula_sum 'K4 La4 Sc4'
_symmetry_space_group_name_H-M 'F -4 3 m'
_symmetry_Int_Tables_number 216
_symmetry_space_group_name_Hall 'F -4 2 3'
_cell_length_a 8.223
_cell_length_b 8.223
_cell_length_c 8.223
_cell_angle_alpha 90.00
_cell_angle_beta 90.00
_cell_angle_gamma 90.00
loop_
_atom_site_label
_atom_site_type_symbol
_atom_site_fract_x
_atom_site_fract_y
_atom_site_fract_z
K1 K 0.000 0.000 0.000
La1 La 0.000 0.000 0.500
Sc1 Sc 0.250 0.250 0.750

***

(12)
# KLaSc2 (PBE, relaxed)
# Energy relative to the lowest polymorph listed for this composition (kJ per mole of atoms): 0.4
# DOS at the Fermi energy (states/eV per cell): 17.5
# Density (g cm⁻³): 3.30
data_KLaSc2
_chemical_formula_sum 'K3 La3 Sc6'
_symmetry_space_group_name_H-M 'R 3 m'
_symmetry_Int_Tables_number 160
_symmetry_space_group_name_Hall 'R 3 -2"'
_cell_length_a 3.5273
_cell_length_b 3.5273
_cell_length_c 37.5430
_cell_angle_alpha 90.00
_cell_angle_beta 90.00
_cell_angle_gamma 120.00
loop_
_atom_site_label
_atom_site_type_symbol
_atom_site_fract_x
_atom_site_fract_y
_atom_site_fract_z
K1 K 0.0000 0.0000 0.0000
La1 La 0.0000 0.0000 0.7684
Sc1 Sc 0.0000 0.0000 0.2405
Sc2 Sc 0.0000 0.0000 0.5082

***

(13)
# KLaSc2 (PBE, relaxed)
# Energy relative to the lowest polymorph listed for this composition (kJ per mole of atoms): 16.5
# DOS at the Fermi energy (states/eV per cell): 7.6
# Density (g cm⁻³): 3.01
data_KLaSc2
_chemical_formula_sum 'K1 La1 Sc2'
_symmetry_space_group_name_H-M 'P 1 2/m 1'
_symmetry_Int_Tables_number 10
_symmetry_space_group_name_Hall '-P 2y'
_cell_length_a 3.551
_cell_length_b 4.904
_cell_length_c 8.483
_cell_angle_alpha 90.00
_cell_angle_beta 90.09
_cell_angle_gamma 90.00
loop_
_atom_site_label
_atom_site_type_symbol
_atom_site_fract_x
_atom_site_fract_y
_atom_site_fract_z
K1 K 0.000 0.000 0.000
La1 La 0.000 0.000 0.500
Sc1 Sc 0.499 0.500 0.318

***

(14)
# KLaSc2 (PBE, relaxed)
# Energy relative to the lowest polymorph listed for this composition (kJ per mole of atoms): 26.2
# DOS at the Fermi energy (states/eV per cell): 15.7
# Density (g cm⁻³): 3.36
data_KLaSc2
_chemical_formula_sum 'K2 La2 Sc4'
_symmetry_space_group_name_H-M 'C 1 2/m 1'
_symmetry_Int_Tables_number 12
_symmetry_space_group_name_Hall '-C 2y'
_cell_length_a 7.204
_cell_length_b 10.661
_cell_length_c 3.453
_cell_angle_alpha 90.00
_cell_angle_beta 90.15
_cell_angle_gamma 90.00
loop_
_atom_site_label
_atom_site_type_symbol
_atom_site_fract_x
_atom_site_fract_y
_atom_site_fract_z
K1 K 0.000 0.000 0.000
La1 La 0.000 0.500 0.000
Sc1 Sc 0.250 0.250 0.500